Compound: Tb4SmErSe8
Source: Alexandria
Functional: PBE-GGA
Structure: relaxed

a = 8.4677 Å, b = 8.4677 Å, c = 20.6844 Å
α = 90.00°, β = 90.00°, γ = 120.00°
Space group R3m (No. 160, hexagonal axes)
Inequivalent atoms, fractional coordinates:
Tb  0.0000  0.0000  0.0000 [3 per cell]
Tb  0.0012  0.5006  0.8758 [9 per cell]
Sm  0.0000  0.0000  0.7512 [3 per cell]
Er  0.0000  0.0000  0.3754 [3 per cell]
Se  0.0000  0.0000  0.1324 [3 per cell]
Se  0.0000  0.0000  0.6169 [3 per cell]
Se  0.0270  0.5135  0.1276 [9 per cell]
Se  0.1778  0.3557  0.9579 [9 per cell]

The density of states at the Fermi level comes out at 0.6326 states/eV/atom. For the formation energy (no corrections), the calculation gives -1718 meV/atom. As for the raw total energy: -5.695 eV per atom.

Compound: CsSi2BO6
Source: Alexandria
Functional: PBE-GGA
Structure: relaxed

a = 13.186 Å, b = 13.186 Å, c = 13.074 Å
α = 90.00°, β = 90.00°, γ = 90.00°
Space group I4_1/acd (No. 142, origin choice 2)
Inequivalent atoms, fractional coordinates:
Cs  0.124  0.126  0.125 [16 per cell]
Si  0.091  0.116  0.836 [32 per cell]
B  0.164  0.086  0.625 [16 per cell]
O  0.032  0.112  0.359 [32 per cell]
O  0.103  0.121  0.713 [32 per cell]
O  0.148  0.023  0.894 [32 per cell]

The density of states at the Fermi level comes out at 0.0000 states/eV/atom. For the formation energy (no corrections), the calculation gives -2639 meV/atom. As for the raw total energy: -7.451 eV per atom.

Compound: Hg2PbCl
Source: Alexandria
Functional: PBE-GGA
Structure: relaxed

a = 7.635 Å, b = 7.635 Å, c = 7.635 Å
α = 90.00°, β = 90.00°, γ = 90.00°
Space group Fm-3m (No. 225)
Inequivalent atoms, fractional coordinates:
Hg  0.250  0.250  0.250 [8 per cell]
Pb  0.000  0.000  0.000 [4 per cell]
Cl  0.000  0.000  0.500 [4 per cell]

The density of states at the Fermi level comes out at 1.3388 states/eV/atom. For the formation energy (no corrections), the calculation gives -101 meV/atom. As for the raw total energy: -1.641 eV per atom.

Compound: Na2SrPb2Au2
Source: Alexandria
Functional: PBE-GGA
Structure: relaxed

a = 4.9869 Å, b = 4.9869 Å, c = 27.9703 Å
α = 90.00°, β = 90.00°, γ = 120.00°
Space group R-3m (No. 166, hexagonal axes)
Inequivalent atoms, fractional coordinates:
Na  0.0000  0.0000  0.1325 [6 per cell]
Sr  0.0000  0.0000  0.0000 [3 per cell]
Pb  0.0000  0.0000  0.2581 [6 per cell]
Au  0.0000  0.0000  0.4005 [6 per cell]

The density of states at the Fermi level comes out at 0.6595 states/eV/atom. As for the raw total energy: -2.966 eV per atom. For the formation energy, the calculation gives -0.35 eV/atom.

Compound: Al2CdCo
Source: Alexandria
Functional: PBE-GGA
Structure: relaxed

a = 2.9119 Å, b = 2.9119 Å, c = 26.2143 Å
α = 90.00°, β = 90.00°, γ = 120.00°
Space group R-3m (No. 166, hexagonal axes)
Inequivalent atoms, fractional coordinates:
Al  0.0000  0.0000  0.2337 [6 per cell]
Cd  0.0000  0.0000  0.0000 [3 per cell]
Co  0.0000  0.0000  0.5000 [3 per cell]

The density of states at the Fermi level comes out at 0.6518 states/eV/atom. As for the raw total energy: -3.919 eV per atom. For the formation energy, the calculation gives -0.04 eV/atom.

Compound: Cs2USe3Cl
Source: Alexandria
Functional: PBE-GGA
Structure: relaxed

a = 5.497 Å, b = 5.519 Å, c = 18.152 Å
α = 90.00°, β = 90.00°, γ = 90.00°
Space group Immm (No. 71)
Inequivalent atoms, fractional coordinates:
Cs  0.000  0.000  0.149 [4 per cell]
U  0.000  0.000  0.500 [2 per cell]
Se  0.000  0.000  0.355 [4 per cell]
Se  0.000  0.500  0.500 [2 per cell]
Cl  0.000  0.500  0.000 [2 per cell]

The density of states at the Fermi level comes out at 0.7213 states/eV/atom. For the formation energy (no corrections), the calculation gives -1348 meV/atom. As for the raw total energy: -4.961 eV per atom.

Compound: BaZnRu2
Source: Alexandria
Functional: PBE-GGA
Structure: relaxed

a = 8.983 Å, b = 3.089 Å, c = 6.101 Å
α = 90.00°, β = 98.00°, γ = 90.00°
Space group C2/m (No. 12)
Inequivalent atoms, fractional coordinates:
Ba  0.000  0.000  0.000 [2 per cell]
Zn  0.000  0.500  0.500 [2 per cell]
Ru  0.225  0.000  0.655 [4 per cell]

The density of states at the Fermi level comes out at 1.2973 states/eV/atom. As for the raw total energy: -4.925 eV per atom. For the formation energy, the calculation gives 0.51 eV/atom.

Compound: Na2CaTl2In2
Source: Alexandria
Functional: PBE-GGA
Structure: relaxed

a = 5.2108 Å, b = 5.2108 Å, c = 25.0778 Å
α = 90.00°, β = 90.00°, γ = 120.00°
Space group R-3m (No. 166, hexagonal axes)
Inequivalent atoms, fractional coordinates:
Na  0.0000  0.0000  0.1426 [6 per cell]
Ca  0.0000  0.0000  0.0000 [3 per cell]
Tl  0.0000  0.0000  0.4240 [6 per cell]
In  0.0000  0.0000  0.2798 [6 per cell]

The density of states at the Fermi level comes out at 0.3953 states/eV/atom. As for the raw total energy: -2.303 eV per atom. For the formation energy, the calculation gives -0.18 eV/atom.

Compound: Cu2PPt
Source: Alexandria
Functional: PBE-GGA
Structure: relaxed

a = 8.340 Å, b = 2.910 Å, c = 4.507 Å
α = 90.00°, β = 100.43°, γ = 90.00°
Space group Cm (No. 8)
Inequivalent atoms, fractional coordinates:
Cu  0.000  0.000  0.000 [2 per cell]
Cu  0.247  0.500  0.197 [2 per cell]
P  0.009  0.500  0.475 [2 per cell]
Pt  0.244  0.000  0.691 [2 per cell]

The density of states at the Fermi level comes out at 0.5480 states/eV/atom. As for the raw total energy: -4.957 eV per atom. For the formation energy, the calculation gives -0.05 eV/atom.

Compound: YAs3Br
Source: Alexandria
Functional: PBE-GGA
Structure: relaxed

a = 5.467 Å, b = 5.467 Å, c = 5.467 Å
α = 90.00°, β = 90.00°, γ = 90.00°
Space group Pm-3m (No. 221)
Inequivalent atoms, fractional coordinates:
Y  0.000  0.000  0.000 [1 per cell]
As  0.000  0.000  0.500 [3 per cell]
Br  0.500  0.500  0.500 [1 per cell]

The density of states at the Fermi level comes out at 1.1652 states/eV/atom. For the formation energy (no corrections), the calculation gives 440 meV/atom. As for the raw total energy: -3.977 eV per atom.

Compound: BeAl2AgHg
Source: Alexandria
Functional: PBE-GGA
Structure: relaxed

a = 4.876 Å, b = 4.876 Å, c = 4.496 Å
α = 90.00°, β = 90.00°, γ = 90.00°
Space group P4/mmm (No. 123)
Inequivalent atoms, fractional coordinates:
Be  0.000  0.000  0.000 [1 per cell]
Al  0.000  0.500  0.500 [2 per cell]
Ag  0.000  0.000  0.500 [1 per cell]
Hg  0.500  0.500  0.000 [1 per cell]

The density of states at the Fermi level comes out at 0.3988 states/eV/atom. As for the raw total energy: -2.334 eV per atom. For the formation energy, the calculation gives 0.54 eV/atom.

Compound: ScHg2
Source: Alexandria
Functional: PBE-GGA
Structure: relaxed

a = 4.9889 Å, b = 4.9889 Å, c = 6.0999 Å
α = 90.00°, β = 90.00°, γ = 120.00°
Space group P6_3/mmc (No. 194)
Inequivalent atoms, fractional coordinates:
Sc  0.3333  0.6667  0.2500 [2 per cell]
Hg  0.0000  0.0000  0.0000 [2 per cell]
Hg  0.3333  0.6667  0.7500 [2 per cell]

The density of states at the Fermi level comes out at 0.5544 states/eV/atom. As for the raw total energy: -2.605 eV per atom. For the formation energy, the calculation gives -0.29 eV/atom.